[1]
First-principles (PBE) data for an optimized crystal structure of Zr2PtCl, as listed in Alexandria via LeMat-Bulk.

Results
Its total energy is -82.0 eV for the cell shown. The value obtained for the size of the total moment is 0.00 μB per atom. As for the density of states at the Fermi level: 11.329 states/eV/cell. As for the formation energy (no corrections): -57 kJ/mol of atoms. For the density, the calculation gives 8.9 g cm⁻³. Its polymorph energy (0 for the lowest one) is 28.3 kJ/mol of atoms.

a b c (Å): 3.1579 3.1579 26.7333
angles (deg): 90.00 90.00 120.00
Closest atoms and distances in Å follow each position.
Positions (direct):
Zr 0.0000 0.0000 0.2501  3 Pt 2.88, 3 Cl 2.88, 6 Zr 3.16
Zr 0.0000 0.0000 0.7499  3 Pt 2.88, 3 Cl 2.88, 6 Zr 3.16
Zr 0.3333 0.6667 0.4165  3 Pt 2.88, 3 Cl 2.88, 6 Zr 3.16
Zr 0.3333 0.6667 0.9168  3 Pt 2.88, 3 Cl 2.88, 6 Zr 3.16
Zr 0.6667 0.3333 0.0832  3 Pt 2.88, 3 Cl 2.88, 6 Zr 3.16
Zr 0.6667 0.3333 0.5835  3 Pt 2.88, 3 Cl 2.88, 6 Zr 3.16
Pt 0.0000 0.0000 0.0000  6 Zr 2.88, 6 Pt 3.16
Pt 0.3333 0.6667 0.6667  6 Zr 2.88, 6 Pt 3.16
Pt 0.6667 0.3333 0.3333  6 Zr 2.88, 6 Pt 3.16
Cl 0.0000 0.0000 0.5000  6 Zr 2.88, 6 Cl 3.16
Cl 0.3333 0.6667 0.1667  6 Zr 2.88, 6 Cl 3.16
Cl 0.6667 0.3333 0.8333  6 Zr 2.88, 6 Cl 3.16


[2]
First-principles (PBE) data for an optimized crystal structure of Sc2AgHg, as listed in Alexandria via LeMat-Bulk.

Results
Its total energy is -33.2 eV for the cell shown. The value obtained for the size of the total moment is 0.00 μB per atom. As for the density of states at the Fermi level: 9.586 states/eV/cell. For the density, the calculation gives 7.9 g cm⁻³.

a b c (Å): 4.2409 4.2409 9.2691
angles (deg): 90.00 90.00 90.00
Closest atoms and distances in Å follow each position.
Positions (direct):
Sc 0.0000 0.0000 0.0000  4 Hg 3.00, 4 Sc 3.14, 4 Ag 3.14
Sc 0.0000 0.5000 0.2500  4 Ag 3.00, 4 Hg 3.14, 4 Sc 3.14
Sc 0.5000 0.0000 0.7500  4 Ag 3.00, 4 Hg 3.14, 4 Sc 3.14
Sc 0.5000 0.5000 0.5000  4 Hg 3.00, 4 Sc 3.14, 4 Ag 3.14
Ag 0.0000 0.5000 0.7500  8 Sc 3.00-3.14, 4 Hg 3.14
Ag 0.5000 0.0000 0.2500  8 Sc 3.00-3.14, 4 Hg 3.14
Hg 0.0000 0.0000 0.5000  8 Sc 3.00-3.14, 4 Ag 3.14
Hg 0.5000 0.5000 0.0000  8 Sc 3.00-3.14, 4 Ag 3.14


[3]
First-principles (PBE) data for an optimized crystal structure of KLaRe4, as listed in Alexandria via LeMat-Bulk.

Results
Its total energy is -51.5 eV for the cell shown. The value obtained for the size of the total moment is 0.00 μB per atom. As for the density of states at the Fermi level: 6.824 states/eV/cell. For the density, the calculation gives 12.9 g cm⁻³.

a b c (Å): 5.5213 5.5213 5.5213
angles (deg): 60.00 60.00 60.00
Closest atoms and distances in Å follow each position.
Positions (direct):
K 0.0000 0.0000 0.0000  12 Re 3.24, 4 La 3.38
La 0.7500 0.7500 0.7500  12 Re 3.24, 4 K 3.38
Re 0.3750 0.3750 0.3750  6 Re 2.76
Re 0.3750 0.3750 0.8750  6 Re 2.76
Re 0.3750 0.8750 0.3750  6 Re 2.76
Re 0.8750 0.3750 0.3750  6 Re 2.76


[4]
First-principles (PBE) data for an optimized crystal structure of Cd2SnAuSe, as listed in Alexandria via LeMat-Bulk.

Results
Its total energy is -10.0 eV for the cell shown. The value obtained for the size of the total moment is 0.00 μB per atom. As for the density of states at the Fermi level: 3.375 states/eV/cell. As for the formation energy (no corrections): 49 kJ/mol of atoms. For the density, the calculation gives 6.3 g cm⁻³.

a b c (Å): 5.5491 5.5491 5.3090
angles (deg): 90.00 90.00 90.00
Closest atoms and distances in Å follow each position.
Positions (direct):
Cd 0.0000 0.5000 0.0000  2 Sn 2.77
Cd 0.5000 0.0000 0.0000  2 Sn 2.77
Sn 0.0000 0.0000 0.0000  2 Se 2.65, 4 Cd 2.77
Au 0.5000 0.5000 0.5000  8 Cd 3.84, 4 Se 3.92
Se 0.0000 0.0000 0.5000  2 Sn 2.65